# ZnCdCo2 | Alexandria | GGA-PBE | relaxed
data_ZnCdCo2
_cell_length_a 2.719
_cell_length_b 4.055
_cell_length_c 5.306
_cell_angle_alpha 90.00
_cell_angle_beta 101.98
_cell_angle_gamma 90.00
_space_group_name_H-M_alt 'P 1 m 1'
_space_group_IT_number 6
loop_
_space_group_symop_operation_xyz
'x,y,z'
'x,-y,z'
loop_
_atom_site_label
_atom_site_type_symbol
_atom_site_fract_x
_atom_site_fract_y
_atom_site_fract_z
Zn1 Zn 0.000 0.000 0.000
Cd1 Cd 0.724 0.500 0.316
Co1 Co 0.352 0.500 0.791
Co2 Co 0.364 0.000 0.581
# E	-3.88	eV/atom
# total magnetic moment	2.9	μB per cell
# energy of formation	0.22	eV per atom